## Y2Sc2Tl3 (GGA-PBE)

Data for crystalline Y2Sc2Tl3 at its relaxed geometry.

a b c (Å): 3.3948 3.4200 15.9767
angles (deg): 90.04 83.90 90.00
Positions (direct):
Sc  0.7065  0.4997  0.5871
Sc  0.2935  0.5003  0.4129
Tl  0.1433  0.9999  0.7135
Tl  0.8567  0.0001  0.2865
Tl  0.0000  0.0000  0.0000
Y  0.5717  0.5000  0.8566
Y  0.4283  0.5000  0.1434

Output
As for the energy of formation from the pure elements: -0.186 eV per atom. The total magnetization is 1.6 μB/f.u. As for the crystal system: orthorhombic. Its density of states at the Fermi level is 0.95 states/eV per atom.


## Ni2HgAu (GGA-PBE)

Data for crystalline Ni2HgAu at its relaxed geometry.

a b c (Å): 3.0212 3.0212 6.7041
angles (deg): 90.00 90.00 90.00
Positions (direct):
Au  0.0000  0.0000  0.4584
Hg  0.5000  0.5000  0.7829
Ni  0.5000  0.5000  0.2175
Ni  0.0000  0.0000  0.0412

Output
As for the energy of formation from the pure elements: 0.152 eV per atom. The total magnetization is 0.7 μB/f.u. As for the crystal system: tetragonal. Its density of states at the Fermi level is 0.93 states/eV per atom.


## Nb2FeMoH (GGA-PBE)

Data for crystalline Nb2FeMoH at its relaxed geometry.

a b c (Å): 4.4483 4.4483 3.3187
angles (deg): 90.00 90.00 90.00
Positions (direct):
Fe  0.0000  0.0000  0.5000
Nb  0.5000  0.0000  0.0000
Nb  0.0000  0.5000  0.0000
Mo  0.5000  0.5000  0.5000
H  0.0000  0.0000  0.0000

Output
Its raw total energy is -8.6443 eV/atom. The total magnetization is 1.3 μB/f.u. As for the crystal system: tetragonal. Its density of states at the Fermi level is 0.55 states/eV per atom.


## DyPuPb (GGA-PBE)

Data for crystalline DyPuPb at its relaxed geometry.

a b c (Å): 4.0825 4.0825 5.8992
angles (deg): 110.24 110.24 90.00
Positions (direct):
Dy  0.2705  0.2705  0.5409
Pu  0.9575  0.9575  0.9150
Pb  0.6220  0.6220  0.2440

Output
As for the energy of formation from the pure elements: -0.101 eV per atom. The total magnetization is 7.0 μB/f.u. As for the crystal system: tetragonal. Its density of states at the Fermi level is 2.73 states/eV per atom.


## Ca3Sc5 (GGA-PBE)

Data for crystalline Ca3Sc5 at its relaxed geometry.

a b c (Å): 9.6808 9.6808 5.9158
angles (deg): 90.00 90.00 120.00
Positions (direct):
Sc  0.7976  0.7976  0.2500
Sc  0.7976  0.0000  0.7500
Sc  0.3333  0.6667  0.0000
Sc  0.3333  0.6667  0.5000
Sc  0.6667  0.3333  0.5000
Sc  0.6667  0.3333  0.0000
Sc  0.0000  0.7976  0.7500
Sc  0.2024  0.2024  0.7500
Sc  0.0000  0.2024  0.2500
Sc  0.2024  0.0000  0.2500
Ca  0.6048  0.6048  0.7500
Ca  0.3952  0.3952  0.2500
Ca  0.0000  0.6048  0.2500
Ca  0.0000  0.3952  0.7500
Ca  0.3952  0.0000  0.7500
Ca  0.6048  0.0000  0.2500

Output
As for the energy of formation from the pure elements: 0.387 eV per atom. The total magnetization is 3.3 μB/f.u. As for the crystal system: hexagonal. Its density of states at the Fermi level is 1.50 states/eV per atom.


## HgPdRh2C (GGA-PBE)

Data for crystalline HgPdRh2C at its relaxed geometry.

a b c (Å): 4.0990 4.0990 4.2866
angles (deg): 90.00 90.00 90.00
Positions (direct):
Rh  0.5000  0.0000  0.0000
Rh  0.0000  0.5000  0.0000
C  0.0000  0.0000  0.0000
Pd  0.0000  0.0000  0.5000
Hg  0.5000  0.5000  0.5000

Output
As for the energy of formation from the pure elements: 0.094 eV per atom. The total magnetization is 0.0 μB/f.u. As for the crystal system: tetragonal. Its density of states at the Fermi level is 0.27 states/eV per atom.


## Na3Ca2PuO6 (GGA-PBE)

Data for crystalline Na3Ca2PuO6 at its relaxed geometry.

a b c (Å): 5.9312 5.9312 5.8983
angles (deg): 99.74 99.74 120.03
Positions (direct):
O  0.7661  0.7661  0.2094
O  0.6213  0.9280  0.7837
O  0.2339  0.2339  0.7906
O  0.9280  0.6213  0.7837
O  0.3787  0.0720  0.2163
O  0.0720  0.3787  0.2163
Na  0.1662  0.8338  0.5000
Na  0.5000  0.5000  0.5000
Na  0.8338  0.1662  0.5000
Ca  0.6671  0.3329  0.0000
Ca  0.3329  0.6671  0.0000
Pu  0.0000  0.0000  0.0000

Output
The total magnetization is 3.0 μB/f.u. The formation energy (no corrections) comes out at -2.461 eV per atom. As for the crystal system: monoclinic. Its density of states at the Fermi level is 0.88 states/eV per atom.


## PuCdBi (GGA-PBE)

Data for crystalline PuCdBi at its relaxed geometry.

a b c (Å): 5.7608 3.3230 10.6997
angles (deg): 99.49 57.40 90.00
Positions (direct):
Cd  0.8475  0.7313  0.9009
Cd  0.3256  0.2579  0.9227
Pu  0.5355  0.4012  0.2285
Pu  0.6686  0.5889  0.5950
Bi  0.0129  0.9118  0.2510
Bi  0.1911  0.0785  0.5725

Output
As for the energy of formation from the pure elements: -0.139 eV per atom. The total magnetization is 0.0 μB/f.u. As for the crystal system: monoclinic. Its density of states at the Fermi level is 3.91 states/eV per atom.


## PtAuI4 (GGA-PBE)

Data for crystalline PtAuI4 at its relaxed geometry.

a b c (Å): 3.9218 7.4553 9.6443
angles (deg): 79.92 90.00 105.25
Positions (direct):
Au  0.0000  0.0000  0.0000
I  0.1188  0.2376  0.4179
I  0.8812  0.7624  0.5821
I  0.6298  0.2596  0.9082
I  0.3702  0.7404  0.0918
Pt  0.5000  0.0000  0.5000

Output
The total magnetization is 0.0 μB/f.u. The formation energy (no corrections) comes out at -0.067 eV per atom. As for the crystal system: monoclinic. Its density of states at the Fermi level is 0.40 states/eV per atom.


## MnNiAgAu (GGA-PBE)

Data for crystalline MnNiAgAu at its relaxed geometry.

a b c (Å): 4.4364 4.4364 4.4364
angles (deg): 60.00 60.00 60.00
Positions (direct):
Au  0.5000  0.5000  0.5000
Ni  0.2500  0.2500  0.2500
Ag  0.0000  0.0000  0.0000
Mn  0.7500  0.7500  0.7500

Output
As for the energy of formation from the pure elements: 0.124 eV per atom. The total magnetization is 4.3 μB/f.u. As for the crystal system: cubic. Its density of states at the Fermi level is 0.65 states/eV per atom.


## Ac2Mg12Rh7 (GGA-PBE)

Data for crystalline Ac2Mg12Rh7 at its relaxed geometry.

a b c (Å): 4.0789 10.8616 10.8616
angles (deg): 120.00 90.00 90.00
Positions (direct):
Mg  0.5000  0.7230  0.0932
Mg  0.0000  0.7582  0.7109
Mg  0.5000  0.9068  0.6299
Mg  0.0000  0.0582  0.5543
Mg  0.0000  0.4961  0.9418
Mg  0.5000  0.3701  0.2770
Mg  0.5000  0.5501  0.7538
Mg  0.5000  0.2037  0.4499
Mg  0.0000  0.9527  0.2418
Mg  0.5000  0.2462  0.7963
Mg  0.0000  0.2891  0.0473
Mg  0.0000  0.4457  0.5039
Rh  0.0000  0.2017  0.2506
Rh  0.0000  0.0489  0.7983
Rh  0.5000  0.4701  0.0904
Rh  0.0000  0.3333  0.6667
Rh  0.0000  0.7494  0.9511
Rh  0.5000  0.6203  0.5299
Rh  0.5000  0.9096  0.3797
Ac  0.0000  0.6667  0.3333
Ac  0.5000  0.0000  0.0000

Output
As for the energy of formation from the pure elements: -0.429 eV per atom. The total magnetization is 0.0 μB/f.u. As for the crystal system: hexagonal. Its density of states at the Fermi level is 0.41 states/eV per atom.


## CaSc2Au (GGA-PBE)

Data for crystalline CaSc2Au at its relaxed geometry.

a b c (Å): 6.3198 6.3198 5.2034
angles (deg): 65.65 65.65 31.97
Positions (direct):
Ca  0.2500  0.2500  0.2500
Sc  0.0431  0.0431  0.9569
Sc  0.4569  0.4569  0.5431
Au  0.7500  0.7500  0.7500

Output
As for the energy of formation from the pure elements: -0.347 eV per atom. The total magnetization is 0.0 μB/f.u. As for the crystal system: orthorhombic. Its density of states at the Fermi level is 1.14 states/eV per atom.